(1)
# TlCrPRh2 | Alexandria via LeMat-Bulk | PBE | relaxed
# DFT formation energy, kJ/mol of formula units: 33
data_TlCrPRh2
_cell_length_a 4.457
_cell_length_b 4.364
_cell_length_c 4.457
_cell_angle_alpha 90.00
_cell_angle_beta 90.00
_cell_angle_gamma 90.00
_space_group_name_H-M_alt 'P 1'
_space_group_IT_number 1
loop_
_space_group_symop_operation_xyz
'x,y,z'
loop_
_atom_site_label
_atom_site_type_symbol
_atom_site_fract_x
_atom_site_fract_y
_atom_site_fract_z
Cr1 Cr 0.000 0.500 0.000
Tl1 Tl 0.500 0.500 0.500
Rh1 Rh 0.000 0.000 0.500
Rh2 Rh 0.500 0.000 0.000
P1 P 0.000 0.000 0.000

(2)
# VCrPRh2 | Alexandria via LeMat-Bulk | PBE | relaxed
# DFT formation energy, kJ/mol of formula units: 505
data_VCrPRh2
_cell_length_a 4.467
_cell_length_b 4.232
_cell_length_c 4.467
_cell_angle_alpha 90.00
_cell_angle_beta 90.00
_cell_angle_gamma 90.00
_space_group_name_H-M_alt 'P 1'
_space_group_IT_number 1
loop_
_space_group_symop_operation_xyz
'x,y,z'
loop_
_atom_site_label
_atom_site_type_symbol
_atom_site_fract_x
_atom_site_fract_y
_atom_site_fract_z
Cr1 Cr 0.000 0.000 0.000
Rh1 Rh 0.000 0.000 0.500
Rh2 Rh 0.500 0.000 0.000
P1 P 0.500 0.500 0.500
V1 V 0.000 0.500 0.000

(3)
# CrP2Ru | Alexandria via LeMat-Bulk | PBE | relaxed
# DFT formation energy, kJ/mol of formula units: -141
# Offset from the most stable computed form, meV per atom: 62
data_CrP2Ru
_cell_length_a 4.244
_cell_length_b 4.244
_cell_length_c 4.636
_cell_angle_alpha 74.86
_cell_angle_beta 74.86
_cell_angle_gamma 40.51
_space_group_name_H-M_alt 'P 1'
_space_group_IT_number 1
loop_
_space_group_symop_operation_xyz
'x,y,z'
loop_
_atom_site_label
_atom_site_type_symbol
_atom_site_fract_x
_atom_site_fract_y
_atom_site_fract_z
Cr1 Cr 0.269 0.269 0.118
P1 P 0.989 0.989 0.129
P2 P 0.746 0.746 0.725
Ru1 Ru 0.496 0.496 0.527

(4)
# CrPRu2 | Alexandria via LeMat-Bulk | PBE | relaxed
# DFT formation energy, kJ/mol of formula units: 99
data_CrPRu2
_cell_length_a 2.731
_cell_length_b 2.731
_cell_length_c 8.017
_cell_angle_alpha 90.00
_cell_angle_beta 90.00
_cell_angle_gamma 116.87
_space_group_name_H-M_alt 'P 1'
_space_group_IT_number 1
loop_
_space_group_symop_operation_xyz
'x,y,z'
loop_
_atom_site_label
_atom_site_type_symbol
_atom_site_fract_x
_atom_site_fract_y
_atom_site_fract_z
Cr1 Cr 0.000 0.000 0.521
P1 P 0.500 0.500 0.744
Ru1 Ru 0.000 0.000 0.971
Ru2 Ru 0.500 0.500 0.264

(5)
# CrP4Ru | Alexandria via LeMat-Bulk | PBE | relaxed
# DFT formation energy, kJ/mol of formula units: 414
data_CrP4Ru
_cell_length_a 4.920
_cell_length_b 4.920
_cell_length_c 4.920
_cell_angle_alpha 60.00
_cell_angle_beta 60.00
_cell_angle_gamma 60.00
_space_group_name_H-M_alt 'P 1'
_space_group_IT_number 1
loop_
_space_group_symop_operation_xyz
'x,y,z'
loop_
_atom_site_label
_atom_site_type_symbol
_atom_site_fract_x
_atom_site_fract_y
_atom_site_fract_z
Cr1 Cr 0.000 0.000 0.000
P1 P 0.375 0.874 0.375
P2 P 0.874 0.375 0.375
P3 P 0.375 0.375 0.874
P4 P 0.375 0.375 0.375
Ru1 Ru 0.750 0.750 0.750

(6)
# CrPRu2 | Alexandria via LeMat-Bulk | PBE | relaxed
# DFT formation energy, kJ/mol of formula units: 115
data_CrPRu2
_cell_length_a 2.735
_cell_length_b 2.735
_cell_length_c 7.993
_cell_angle_alpha 90.00
_cell_angle_beta 90.00
_cell_angle_gamma 116.29
_space_group_name_H-M_alt 'P 1'
_space_group_IT_number 1
loop_
_space_group_symop_operation_xyz
'x,y,z'
loop_
_atom_site_label
_atom_site_type_symbol
_atom_site_fract_x
_atom_site_fract_y
_atom_site_fract_z
Cr1 Cr 0.500 0.500 0.250
P1 P 0.500 0.500 0.750
Ru1 Ru 0.000 0.000 0.986
Ru2 Ru 0.000 0.000 0.514

(7)
# CrP2Ru | Alexandria via LeMat-Bulk | PBE | relaxed
# DFT formation energy, kJ/mol of formula units: -165
# Offset from the most stable computed form, meV per atom: 0
data_CrP2Ru
_cell_length_a 5.836
_cell_length_b 5.836
_cell_length_c 5.836
_cell_angle_alpha 150.42
_cell_angle_beta 147.79
_cell_angle_gamma 44.29
_space_group_name_H-M_alt 'P 1'
_space_group_IT_number 1
loop_
_space_group_symop_operation_xyz
'x,y,z'
loop_
_atom_site_label
_atom_site_type_symbol
_atom_site_fract_x
_atom_site_fract_y
_atom_site_fract_z
Cr1 Cr 0.208 0.708 0.500
P1 P 0.046 0.046 0.000
P2 P 0.790 0.290 0.500
Ru1 Ru 0.456 0.456 0.000

(8)
# CrP2Ru | Alexandria via LeMat-Bulk | PBE | relaxed
# DFT formation energy, kJ/mol of formula units: -109
# Offset from the most stable computed form, meV per atom: 145
data_CrP2Ru
_cell_length_a 3.576
_cell_length_b 3.576
_cell_length_c 5.412
_cell_angle_alpha 70.71
_cell_angle_beta 70.71
_cell_angle_gamma 60.00
_space_group_name_H-M_alt 'P 1'
_space_group_IT_number 1
loop_
_space_group_symop_operation_xyz
'x,y,z'
loop_
_atom_site_label
_atom_site_type_symbol
_atom_site_fract_x
_atom_site_fract_y
_atom_site_fract_z
Cr1 Cr 0.677 0.677 0.970
P1 P 0.082 0.082 0.755
P2 P 0.249 0.249 0.253
Ru1 Ru 0.493 0.493 0.522

(9)
# CrPRu2 | Alexandria via LeMat-Bulk | PBE | relaxed
# DFT formation energy, kJ/mol of formula units: -58
data_CrPRu2
_cell_length_a 2.827
_cell_length_b 2.827
_cell_length_c 6.393
_cell_angle_alpha 90.00
_cell_angle_beta 90.00
_cell_angle_gamma 90.00
_space_group_name_H-M_alt 'P 1'
_space_group_IT_number 1
loop_
_space_group_symop_operation_xyz
'x,y,z'
loop_
_atom_site_label
_atom_site_type_symbol
_atom_site_fract_x
_atom_site_fract_y
_atom_site_fract_z
Cr1 Cr 0.500 0.500 0.250
P1 P 0.500 0.500 0.750
Ru1 Ru 0.000 0.000 0.975
Ru2 Ru 0.000 0.000 0.525

(10)
# CrPRu2 | Alexandria via LeMat-Bulk | PBE | relaxed
# DFT formation energy, kJ/mol of formula units: -43
data_CrPRu2
_cell_length_a 4.160
_cell_length_b 4.160
_cell_length_c 3.015
_cell_angle_alpha 90.00
_cell_angle_beta 90.00
_cell_angle_gamma 90.00
_space_group_name_H-M_alt 'P 1'
_space_group_IT_number 1
loop_
_space_group_symop_operation_xyz
'x,y,z'
loop_
_atom_site_label
_atom_site_type_symbol
_atom_site_fract_x
_atom_site_fract_y
_atom_site_fract_z
Cr1 Cr 0.500 0.000 0.500
P1 P 0.000 0.500 0.500
Ru1 Ru 0.000 0.000 0.000
Ru2 Ru 0.500 0.500 0.000

(11)
# CrP2Ru | Alexandria via LeMat-Bulk | PBE | relaxed
# DFT formation energy, kJ/mol of formula units: -114
# Offset from the most stable computed form, meV per atom: 133
data_CrP2Ru
_cell_length_a 2.883
_cell_length_b 2.883
_cell_length_c 5.748
_cell_angle_alpha 90.00
_cell_angle_beta 90.00
_cell_angle_gamma 90.00
_space_group_name_H-M_alt 'P 1'
_space_group_IT_number 1
loop_
_space_group_symop_operation_xyz
'x,y,z'
loop_
_atom_site_label
_atom_site_type_symbol
_atom_site_fract_x
_atom_site_fract_y
_atom_site_fract_z
Cr1 Cr 0.500 0.500 0.750
P1 P 0.000 0.000 0.983
P2 P 0.000 0.000 0.517
Ru1 Ru 0.500 0.500 0.250

(12)
# CrPRu2 | Alexandria via LeMat-Bulk | PBE | relaxed
# DFT formation energy, kJ/mol of formula units: -61
data_CrPRu2
_cell_length_a 4.994
_cell_length_b 4.994
_cell_length_c 4.994
_cell_angle_alpha 146.99
_cell_angle_beta 129.52
_cell_angle_gamma 61.64
_space_group_name_H-M_alt 'P 1'
_space_group_IT_number 1
loop_
_space_group_symop_operation_xyz
'x,y,z'
loop_
_atom_site_label
_atom_site_type_symbol
_atom_site_fract_x
_atom_site_fract_y
_atom_site_fract_z
Cr1 Cr 0.750 0.250 0.500
P1 P 0.250 0.750 0.500
Ru1 Ru 0.035 0.035 0.000
Ru2 Ru 0.465 0.465 0.000